(1)
Density functional theory data (PBE-GGA) for a geometry-optimized La2TeAs structure.

Structure (POSCAR):
```
La2TeAs
1.0
5.367 0.000 0.000
2.684 4.648 0.000
2.684 1.549 4.382
As Te La
1 1 2
Direct
0.500 0.500 0.500
0.750 0.750 0.750
0.000 0.000 0.000
0.250 0.250 0.250
```

Computed properties:
E_form (uncorrected) ... -0.58 eV per atom
Symmetry ... F-43m (216)
Electronic total energy ... -20.0 eV for the cell shown

***

(2)
Density functional theory data (PBE-GGA) for a geometry-optimized La2TeAs structure.

Structure (POSCAR):
```
La2TeAs
1.0
4.436 -0.008 0.001
2.224 3.838 0.001
2.217 1.275 7.458
As Te La
1 1 2
Direct
0.750 0.750 0.750
0.250 0.250 0.250
0.009 0.009 0.973
0.491 0.491 0.527
```

Computed properties:
E_form (uncorrected) ... -1.65 eV per atom
Symmetry ... R-3m (166)
Electronic total energy ... -24.2 eV for the cell shown

***

(3)
Density functional theory data (PBE-GGA) for a geometry-optimized La3Te2As structure.

Structure (POSCAR):
```
La3Te2As
1.0
6.904 -0.352 3.580
2.598 7.323 1.347
0.353 -0.176 7.768
La Te As
6 4 2
Direct
0.574 0.230 0.349
0.726 0.773 0.000
0.426 0.770 0.651
0.077 0.770 0.349
0.923 0.230 0.651
0.274 0.227 0.000
0.000 0.000 0.000
0.500 0.500 0.000
0.839 0.500 0.322
0.161 0.500 0.678
0.332 0.000 0.335
0.668 0.000 0.665
```

Computed properties:
E_form (uncorrected) ... -1.63 eV per atom
Symmetry ... C2/m (12)
Electronic total energy ... -71.0 eV for the cell shown

***

(4)
Density functional theory data (PBE-GGA) for a geometry-optimized La4TeAs3 structure.

Structure (POSCAR):
```
La4TeAs3
1.0
4.407 0.000 0.000
0.000 6.271 0.000
0.000 0.000 8.882
As Te La
3 1 4
Direct
0.500 0.500 0.249
0.000 0.000 0.500
0.500 0.500 0.751
0.000 0.000 0.000
0.000 0.500 0.500
0.500 0.000 0.732
0.000 0.500 0.000
0.500 0.000 0.268
```

Computed properties:
E_form (uncorrected) ... -1.61 eV per atom
Symmetry ... Pmmm (47)
Electronic total energy ... -49.7 eV for the cell shown

***

(5)
Density functional theory data (PBE-GGA) for a geometry-optimized La2TeAs structure.

Structure (POSCAR):
```
La2TeAs
1.0
-4.140 0.082 5.779
3.613 -5.512 2.666
4.059 1.587 7.258
As Te La
2 2 4
Direct
0.500 0.500 0.000
0.250 0.750 0.500
0.000 0.000 0.000
0.750 0.250 0.500
0.593 0.125 0.250
0.157 0.625 0.250
0.375 0.407 0.750
0.875 0.843 0.750
```

Computed properties:
E_form (uncorrected) ... -1.09 eV per atom
Symmetry ... I-42d (122)
Electronic total energy ... -44.0 eV for the cell shown

***

(6)
Density functional theory data (PBE-GGA) for a geometry-optimized La2TeAs structure.

Structure (POSCAR):
```
La2TeAs
1.0
-4.152 6.911 -1.440
-5.248 2.983 -5.535
2.491 -5.927 5.073
As Te La
1 1 2
Direct
0.206 0.706 0.500
0.453 0.453 0.000
0.057 0.057 0.000
0.784 0.284 0.500
```

Computed properties:
E_form (uncorrected) ... -1.41 eV per atom
Symmetry ... Imm2 (44)
Electronic total energy ... -23.3 eV for the cell shown

***

Number 1: density of states at the Fermi level 2.8 states/eV/cell. Number 2: density of states at the Fermi level 1.9 states/eV/cell. Number 3: density of states at the Fermi level 6.6 states/eV/cell. Number 4: density of states at the Fermi level 2.5 states/eV/cell. Number 5: density of states at the Fermi level 4.3 states/eV/cell. Number 6: density of states at the Fermi level 2.8 states/eV/cell.